# 1
A relaxed LiTlGePd crystal, computed with PBE.

Summary:
The calculated total energy comes out at -3.734 eV/atom.

Cell and atoms, written as CIF:
```
data_LiTlGePd
_chemical_formula_sum 'Li4 Tl4 Ge4 Pd4'
_space_group_name_H-M_alt 'F -4 3 m'
_space_group_IT_number 216
_space_group_name_Hall 'F -4 2 3'
_cell_length_a 6.583
_cell_length_b 6.583
_cell_length_c 6.583
_cell_angle_alpha 90.00
_cell_angle_beta 90.00
_cell_angle_gamma 90.00
loop_
_atom_site_label
_atom_site_type_symbol
_atom_site_fract_x
_atom_site_fract_y
_atom_site_fract_z
Li1 Li 0.000 0.000 0.000
Tl1 Tl 0.250 0.250 0.250
Ge1 Ge 0.250 0.250 0.750
Pd1 Pd 0.000 0.000 0.500
```

=====

# 2
A relaxed LiTlGePd crystal, computed with PBE.

Summary:
The calculated total energy comes out at -3.657 eV/atom.

Cell and atoms, written as CIF:
```
data_LiTlGePd
_chemical_formula_sum 'Li4 Tl4 Ge4 Pd4'
_space_group_name_H-M_alt 'F -4 3 m'
_space_group_IT_number 216
_space_group_name_Hall 'F -4 2 3'
_cell_length_a 6.623
_cell_length_b 6.623
_cell_length_c 6.623
_cell_angle_alpha 90.00
_cell_angle_beta 90.00
_cell_angle_gamma 90.00
loop_
_atom_site_label
_atom_site_type_symbol
_atom_site_fract_x
_atom_site_fract_y
_atom_site_fract_z
Li1 Li 0.000 0.000 0.000
Tl1 Tl 0.250 0.250 0.250
Ge1 Ge 0.000 0.000 0.500
Pd1 Pd 0.250 0.250 0.750
```

=====

# 3
A relaxed Li4ZnGe2Pd crystal, computed with PBE.

Summary:
The calculated total energy comes out at -3.372 eV/atom.

Cell and atoms, written as CIF:
```
data_Li4ZnGe2Pd
_chemical_formula_sum 'Li4 Zn1 Ge2 Pd1'
_space_group_name_H-M_alt 'P -4 m 2'
_space_group_IT_number 115
_space_group_name_Hall 'P -4 -2'
_cell_length_a 4.285
_cell_length_b 4.285
_cell_length_c 6.168
_cell_angle_alpha 90.00
_cell_angle_beta 90.00
_cell_angle_gamma 90.00
loop_
_atom_site_label
_atom_site_type_symbol
_atom_site_fract_x
_atom_site_fract_y
_atom_site_fract_z
Li1 Li 0.000 0.000 0.000
Li2 Li 0.000 0.500 0.247
Li3 Li 0.500 0.500 0.500
Zn1 Zn 0.000 0.000 0.500
Ge1 Ge 0.000 0.500 0.757
Pd1 Pd 0.500 0.500 0.000
```

=====

# 4
A relaxed Li4ZnGePd2 crystal, computed with PBE.

Summary:
The calculated total energy comes out at -3.480 eV/atom.

Cell and atoms, written as CIF:
```
data_Li4ZnGePd2
_chemical_formula_sum 'Li4 Zn1 Ge1 Pd2'
_space_group_name_H-M_alt 'P -4 m 2'
_space_group_IT_number 115
_space_group_name_Hall 'P -4 -2'
_cell_length_a 4.312
_cell_length_b 4.312
_cell_length_c 6.006
_cell_angle_alpha 90.00
_cell_angle_beta 90.00
_cell_angle_gamma 90.00
loop_
_atom_site_label
_atom_site_type_symbol
_atom_site_fract_x
_atom_site_fract_y
_atom_site_fract_z
Li1 Li 0.000 0.000 0.000
Li2 Li 0.000 0.500 0.249
Li3 Li 0.500 0.500 0.500
Zn1 Zn 0.500 0.500 0.000
Ge1 Ge 0.000 0.000 0.500
Pd1 Pd 0.000 0.500 0.738
```